A plane-wave DFT calculation with PBE-GGA was carried out for crystalline Pr2HgOsO8 at its relaxed geometry.

Lattice parameters (Å, degrees): 4.845 4.851 7.746 93.30 93.29 94.25
Element x y z (fractional)
Pr: 0.053 0.052 0.251
Pr: 0.947 0.948 0.749
Hg: 0.500 0.500 0.000
Os: 0.500 0.500 0.500
O: 0.195 0.195 0.982
O: 0.226 0.228 0.545
O: 0.258 0.623 0.326
O: 0.378 0.743 0.673
O: 0.622 0.257 0.327
O: 0.742 0.377 0.674
O: 0.774 0.772 0.455
O: 0.805 0.805 0.018

Results
As for the space group: P-1, No. 2. The total energy comes out at -6.89 eV per atom.

***

A plane-wave DFT calculation with PBE-GGA was carried out for crystalline Sr2HgSb3Pd4 at its relaxed geometry.

Lattice parameters (Å, degrees): 4.692 4.692 10.805 90.00 90.00 90.00
Element x y z (fractional)
Sr: 0.000 0.500 0.244
Sr: 0.500 0.000 0.756
Hg: 0.000 0.000 0.500
Sb: 0.000 0.500 0.875
Sb: 0.500 0.000 0.125
Sb: 0.500 0.500 0.500
Pd: 0.000 0.000 0.000
Pd: 0.000 0.500 0.633
Pd: 0.500 0.000 0.367
Pd: 0.500 0.500 0.000

Results
As for the space group: P-4m2, No. 115. The total energy comes out at -4.40 eV per atom.

***

A plane-wave DFT calculation with PBE-GGA was carried out for crystalline Co2RhCl at its relaxed geometry.

Lattice parameters (Å, degrees): 5.330 5.330 5.330 102.46 102.46 124.64
Element x y z (fractional)
Co: 0.101 0.625 0.976
Co: 0.375 0.351 0.476
Co: 0.649 0.125 0.024
Co: 0.875 0.899 0.524
Rh: 0.250 0.750 0.500
Rh: 0.500 0.500 0.000
Cl: 0.000 0.000 0.000
Cl: 0.750 0.250 0.500

Results
As for the space group: I-42d, No. 122. The value obtained for the distance to the lowest polymorph of the same formula is 382.3 meV per atom. The total energy comes out at -5.25 eV per atom.

***

A plane-wave DFT calculation with PBE-GGA was carried out for crystalline Hg2Ge3O8 at its relaxed geometry.

Lattice parameters (Å, degrees): 6.336 6.336 5.058 104.52 104.52 56.04
Element x y z (fractional)
Hg: 0.223 0.223 0.160
Hg: 0.777 0.777 0.840
Ge: 0.240 0.760 0.500
Ge: 0.500 0.500 0.000
Ge: 0.760 0.240 0.500
O: 0.101 0.101 0.444
O: 0.181 0.623 0.124
O: 0.377 0.819 0.876
O: 0.407 0.407 0.613
O: 0.593 0.593 0.387
O: 0.623 0.181 0.124
O: 0.819 0.377 0.876
O: 0.899 0.899 0.556

Results
As for the space group: C2/m, No. 12. The total energy comes out at -5.35 eV per atom.

***

A plane-wave DFT calculation with PBE-GGA was carried out for crystalline Er2ZrSc6 at its relaxed geometry.

Lattice parameters (Å, degrees): 8.796 8.796 6.102 97.83 97.83 95.37
Element x y z (fractional)
Er: 0.118 0.172 0.376
Er: 0.172 0.118 0.876
Er: 0.828 0.882 0.124
Er: 0.882 0.828 0.624
Zr: 0.384 0.616 0.750
Zr: 0.616 0.384 0.250
Sc: 0.043 0.454 0.740
Sc: 0.165 0.779 0.003
Sc: 0.221 0.835 0.497
Sc: 0.285 0.461 0.183
Sc: 0.454 0.043 0.240
Sc: 0.461 0.285 0.683
Sc: 0.539 0.715 0.317
Sc: 0.546 0.957 0.760
Sc: 0.715 0.539 0.817
Sc: 0.779 0.165 0.503
Sc: 0.835 0.221 0.997
Sc: 0.957 0.546 0.260

Results
As for the space group: C2/c, No. 15. The total energy comes out at -6.07 eV per atom. As for the formation energy: 0.114 eV/atom.

***

A plane-wave DFT calculation with PBE-GGA was carried out for crystalline MnNbAs2S at its relaxed geometry.

Lattice parameters (Å, degrees): 4.323 4.323 5.037 90.00 90.00 90.00
Element x y z (fractional)
Mn: 0.000 0.000 0.000
Nb: 0.000 0.000 0.500
As: 0.000 0.500 0.000
As: 0.500 0.000 0.000
S: 0.500 0.500 0.500

Results
As for the space group: P4/mmm, No. 123. The total energy comes out at -6.08 eV per atom.